No. 1
Entry from Alexandria via LeMat-Bulk: crystalline Co2IBr at its relaxed geometry (GGA-PBE).

size of the total moment = 4.0 μB per formula unit
distance to the lowest polymorph of the same formula = 0.0 meV/atom
V = 23.62 Å³ per atom

Lattice parameters (Å, degrees): 5.717 5.717 7.055 66.10 66.10 90.00
Site moments in Bohr magnetons follow the coordinates.
Fractional coordinates of all 8 atoms:
I 0.750 0.250 0.500  0.11
I 0.000 0.000 0.000  0.11
Co 0.875 0.853 0.750  1.84
Co 0.375 0.397 0.750  1.87
Co 0.147 0.625 0.250  1.85
Co 0.603 0.125 0.250  1.83
Br 0.500 0.500 0.000  0.10
Br 0.250 0.750 0.500  0.10

No. 2
Entry from Alexandria via LeMat-Bulk: crystalline BaInNiCl2 at its relaxed geometry (GGA-PBE).

size of the total moment = 1.0 μB per formula unit
V = 43.35 Å³ per atom
total DFT energy (no corrections) = -3.26 eV/atom

Lattice parameters (Å, degrees): 5.908 6.209 5.908 90.00 90.00 90.00
Site moments in Bohr magnetons follow the coordinates.
Fractional coordinates of all 5 atoms:
Cl 0.000 0.000 0.500  0.00
Cl 0.500 0.000 0.000  0.00
Ni 0.000 0.500 0.000  0.98
Ba 0.000 0.000 0.000  -0.01
In 0.500 0.500 0.500  -0.01

No. 3
Entry from Alexandria via LeMat-Bulk: crystalline Cs2CuWAu at its relaxed geometry (GGA-PBE).

size of the total moment = 5.0 μB per formula unit
V = 45.23 Å³ per atom
total DFT energy (no corrections) = -3.20 eV/atom

Lattice parameters (Å, degrees): 6.693 5.049 6.693 90.00 90.00 90.00
Site moments in Bohr magnetons follow the coordinates.
Fractional coordinates of all 5 atoms:
Cu 0.000 0.000 0.000  0.14
W 0.000 0.500 0.000  3.18
Cs 0.500 0.000 0.000  0.02
Cs 0.000 0.000 0.500  0.03
Au 0.500 0.500 0.500  0.02

No. 4
Entry from Alexandria via LeMat-Bulk: crystalline ErTmN2 at its relaxed geometry (GGA-PBE).

size of the total moment = 0.0 μB per formula unit
V = 14.22 Å³ per atom
total DFT energy (no corrections) = -7.97 eV/atom

Lattice parameters (Å, degrees): 3.360 3.360 6.134 74.11 74.11 60.00
Fractional coordinates of all 4 atoms:
N 0.082 0.082 0.753
N 0.251 0.251 0.247
Tm 0.498 0.498 0.506
Er 0.669 0.669 0.994

No. 5
Entry from Alexandria via LeMat-Bulk: crystalline Pr2SnPd at its relaxed geometry (GGA-PBE).

size of the total moment = 0.0 μB per formula unit
V = 26.86 Å³ per atom
total DFT energy (no corrections) = -5.38 eV/atom

Lattice parameters (Å, degrees): 3.645 3.645 8.088 90.00 90.00 90.00
Fractional coordinates of all 4 atoms:
Pr 0.000 0.000 0.227
Pr 0.000 0.000 0.773
Sn 0.500 0.500 0.500
Pd 0.500 0.500 0.000

No. 6
Entry from Alexandria via LeMat-Bulk: crystalline Ba3ZrNb at its relaxed geometry (GGA-PBE).

size of the total moment = 0.7 μB per formula unit
distance to the lowest polymorph of the same formula = 0.0 meV/atom
V = 43.56 Å³ per atom

Lattice parameters (Å, degrees): 6.017 6.017 6.017 90.00 90.00 90.00
Site moments in Bohr magnetons follow the coordinates.
Fractional coordinates of all 5 atoms:
Ba 0.000 0.500 0.000  -0.04
Ba 0.000 0.000 0.500  0.00
Ba 0.500 0.000 0.000  -0.02
Zr 0.500 0.500 0.500  -0.05
Nb 0.000 0.000 0.000  -0.49

No. 7
Entry from Alexandria via LeMat-Bulk: crystalline CuTcPt3 at its relaxed geometry (GGA-PBE).

size of the total moment = 0.0 μB per formula unit
distance to the lowest polymorph of the same formula = 162.7 meV/atom
V = 21.98 Å³ per atom

Lattice parameters (Å, degrees): 4.790 4.790 4.790 90.00 90.00 90.00
Fractional coordinates of all 5 atoms:
Tc 0.000 0.000 0.000
Pt 0.000 0.500 0.000
Pt 0.000 0.000 0.500
Pt 0.500 0.000 0.000
Cu 0.500 0.500 0.500

No. 8
Entry from Alexandria via LeMat-Bulk: crystalline Pr4HgAu2 at its relaxed geometry (GGA-PBE).

size of the total moment = 0.0 μB per formula unit
V = 31.44 Å³ per atom
total DFT energy (no corrections) = -4.13 eV/atom

Lattice parameters (Å, degrees): 5.102 5.102 10.199 75.52 75.52 60.00
Fractional coordinates of all 7 atoms:
Hg 0.000 0.000 0.000
Pr 0.794 0.794 0.618
Pr 0.621 0.621 0.138
Pr 0.206 0.206 0.382
Pr 0.379 0.379 0.862
Au 0.898 0.898 0.306
Au 0.102 0.102 0.694

No. 9
Entry from Alexandria via LeMat-Bulk: crystalline LiCeIrO6 at its relaxed geometry (GGA-PBE).

size of the total moment = 2.0 μB per formula unit
V = 13.02 Å³ per atom
total DFT energy (no corrections) = -6.79 eV/atom

Lattice parameters (Å, degrees): 4.901 4.901 9.754 90.00 90.00 90.00
Site moments in Bohr magnetons follow the coordinates.
Fractional coordinates of all 18 atoms:
O 0.274 0.274 0.332  0.10
O 0.814 0.186 0.480  0.09
O 0.226 0.774 0.832  0.10
O 0.314 0.314 0.980  0.09
O 0.192 0.808 0.191  0.17
O 0.686 0.686 0.980  0.09
O 0.186 0.814 0.480  0.09
O 0.308 0.308 0.691  0.17
O 0.692 0.692 0.691  0.17
O 0.774 0.226 0.832  0.10
O 0.726 0.726 0.332  0.10
O 0.808 0.192 0.191  0.17
Ce 0.500 0.500 0.501  0.12
Ce 0.000 0.000 0.001  0.12
Li 0.500 0.500 0.162  0.01
Li 0.000 0.000 0.662  0.01
Ir 0.500 0.500 0.832  0.92
Ir 0.000 0.000 0.332  0.92

No. 10
Entry from Alexandria via LeMat-Bulk: crystalline Y2SiCl at its relaxed geometry (GGA-PBE).

size of the total moment = 0.0 μB per formula unit
distance to the lowest polymorph of the same formula = 166.5 meV/atom
V = 24.87 Å³ per atom

Lattice parameters (Å, degrees): 3.313 3.816 7.869 89.94 90.00 90.00
Fractional coordinates of all 4 atoms:
Si 0.500 0.750 0.750
Y 0.000 0.250 0.542
Y 0.000 0.250 0.958
Cl 0.500 0.250 0.250

No. 11
Entry from Alexandria via LeMat-Bulk: crystalline Al4AuS7 at its relaxed geometry (GGA-PBE).

size of the total moment = 0.0 μB per formula unit
V = 25.13 Å³ per atom
total DFT energy (no corrections) = -4.72 eV/atom

Lattice parameters (Å, degrees): 6.181 6.664 14.645 90.00 90.00 90.00
Fractional coordinates of all 24 atoms:
S 0.422 0.846 0.249
S 0.430 0.330 0.624
S 0.930 0.670 0.124
S 0.930 0.670 0.876
S 0.421 0.356 0.134
S 0.430 0.330 0.376
S 0.922 0.154 0.749
S 0.922 0.154 0.251
S 0.421 0.356 0.866
S 0.921 0.644 0.634
S 0.410 0.793 0.000
S 0.921 0.644 0.366
S 0.422 0.846 0.751
S 0.910 0.207 0.500
Al 0.571 0.670 0.872
Al 0.571 0.670 0.128
Al 0.071 0.330 0.628
Al 0.047 0.829 0.753
Al 0.547 0.171 0.747
Al 0.071 0.330 0.372
Al 0.547 0.171 0.253
Al 0.047 0.829 0.247
Au 0.961 0.852 0.500
Au 0.461 0.148 0.000

No. 12
Entry from Alexandria via LeMat-Bulk: crystalline Dy2Y7Ho2 at its relaxed geometry (GGA-PBE).

size of the total moment = 0.0 μB per formula unit
distance to the lowest polymorph of the same formula = 0.0 meV/atom
V = 32.60 Å³ per atom

Lattice parameters (Å, degrees): 8.655 6.504 6.504 92.96 82.26 82.26
Fractional coordinates of all 11 atoms:
Y 0.209 0.080 0.448
Y 0.209 0.448 0.080
Y 0.791 0.920 0.552
Y 0.591 0.153 0.153
Y 0.791 0.552 0.920
Y 0.000 0.000 0.000
Y 0.409 0.847 0.847
Dy 0.500 0.676 0.324
Dy 0.500 0.324 0.676
Ho 0.856 0.396 0.396
Ho 0.144 0.604 0.604

Please write out number 5 again, unchanged.
Entry from Alexandria via LeMat-Bulk: crystalline Pr2SnPd at its relaxed geometry (GGA-PBE).

size of the total moment = 0.0 μB per formula unit
V = 26.86 Å³ per atom
total DFT energy (no corrections) = -5.38 eV/atom

Lattice parameters (Å, degrees): 3.645 3.645 8.088 90.00 90.00 90.00
Fractional coordinates of all 4 atoms:
Pr 0.000 0.000 0.227
Pr 0.000 0.000 0.773
Sn 0.500 0.500 0.500
Pd 0.500 0.500 0.000

- Among the records above, which one has the highest size of the total moment?
  Cs2CuWAu

- Look up the size of the total moment of the fifth one.
  0.0 μB per formula unit

- Look up the V of the fourth one.
  14.22 Å³ per atom